Entry 1:
A relaxed BaPt2Au crystal, computed with PBE.

Output
Calculated formation energy   -549 meV per atom
Crystal system   monoclinic
Distance to the lowest polymorph of the same formula   0.0 kJ/mol of atoms

Cell: 4.704 4.704 6.092 Å, 67.49 67.49 59.98°
Element x y z (fractional)
Au  0.750  0.750  0.750
Ba  0.250  0.250  0.250
Pt  0.066  0.066  0.802
Pt  0.434  0.434  0.698


Entry 2:
A relaxed Te2I6Br crystal, computed with PBE.

Output
Crystal system   monoclinic
E_form (uncorrected)   -0.08 eV/atom

Cell: 12.168 9.654 9.654 Å, 56.77 89.51 89.51°
Element x y z (fractional)
Te  0.250  0.728  0.728
Te  0.250  0.272  0.272
Te  0.750  0.272  0.272
Te  0.750  0.728  0.728
I  0.500  0.750  0.750
I  0.000  0.250  0.250
I  0.500  0.250  0.250
I  0.000  0.750  0.750
I  0.751  0.853  0.388
I  0.749  0.612  0.147
I  0.249  0.147  0.612
I  0.251  0.388  0.853
I  0.249  0.612  0.147
I  0.251  0.853  0.388
I  0.751  0.388  0.853
I  0.749  0.147  0.612
Br  0.250  0.000  0.000
Br  0.750  0.000  0.000


Entry 3:
A relaxed Sr2ZrRu crystal, computed with PBE.

Output
Calculated formation energy   144 meV per atom
Crystal system   orthorhombic
Distance to the lowest polymorph of the same formula   9.0 kJ/mol of atoms

Cell: 9.584 9.584 4.115 Å, 77.62 77.62 20.90°
Element x y z (fractional)
Ru  0.750  0.750  0.750
Sr  0.097  0.097  0.903
Sr  0.403  0.403  0.597
Zr  0.250  0.250  0.250


Entry 4:
A relaxed Na5Ag3Cl12 crystal, computed with PBE.

Output
Crystal system   cubic
E_form (uncorrected)   -0.87 eV/atom

Cell: 14.581 14.581 14.581 Å, 109.47 109.47 109.47°
Element x y z (fractional)
Ag  0.750  0.375  0.125
Ag  0.875  0.750  0.125
Ag  0.375  0.750  0.625
Ag  0.250  0.125  0.375
Ag  0.875  0.125  0.250
Ag  0.375  0.625  0.250
Ag  0.625  0.375  0.750
Ag  0.125  0.875  0.750
Ag  0.750  0.875  0.625
Ag  0.625  0.250  0.375
Ag  0.125  0.250  0.875
Ag  0.250  0.625  0.875
Na  0.125  0.375  0.250
Na  0.000  0.500  0.000
Na  0.000  0.000  0.000
Na  0.375  0.250  0.125
Na  0.500  0.000  0.500
Na  0.500  0.500  0.000
Na  0.125  0.750  0.375
Na  0.750  0.125  0.875
Na  0.750  0.625  0.375
Na  0.375  0.125  0.750
Na  0.625  0.875  0.250
Na  0.500  0.500  0.500
Na  0.500  0.000  0.000
Na  0.000  0.000  0.500
Na  0.250  0.375  0.625
Na  0.250  0.875  0.125
Na  0.000  0.500  0.500
Na  0.875  0.250  0.625
Na  0.625  0.750  0.875
Na  0.875  0.625  0.750
Cl  0.700  0.173  0.044
Cl  0.345  0.544  0.372
Cl  0.956  0.327  0.300
Cl  0.544  0.200  0.173
Cl  0.527  0.700  0.655
Cl  0.956  0.628  0.155
Cl  0.345  0.800  0.473
Cl  0.128  0.973  0.173
Cl  0.628  0.956  0.655
Cl  0.700  0.527  0.155
Cl  0.800  0.456  0.327
Cl  0.845  0.872  0.044
Cl  0.173  0.700  0.544
Cl  0.327  0.372  0.027
Cl  0.027  0.872  0.327
Cl  0.473  0.173  0.628
Cl  0.027  0.155  0.200
Cl  0.456  0.655  0.128
Cl  0.845  0.973  0.300
Cl  0.173  0.473  0.128
Cl  0.327  0.956  0.800
Cl  0.628  0.673  0.473
Cl  0.872  0.845  0.544
Cl  0.800  0.345  0.973
Cl  0.372  0.327  0.527
Cl  0.128  0.155  0.456
Cl  0.200  0.655  0.027
Cl  0.155  0.027  0.700
Cl  0.673  0.044  0.200
Cl  0.827  0.527  0.872
Cl  0.544  0.345  0.872
Cl  0.527  0.827  0.372
Cl  0.973  0.845  0.800
Cl  0.973  0.128  0.673
Cl  0.827  0.300  0.456
Cl  0.155  0.128  0.956
Cl  0.673  0.628  0.973
Cl  0.372  0.044  0.345
Cl  0.300  0.473  0.845
Cl  0.200  0.544  0.673
Cl  0.872  0.027  0.827
Cl  0.655  0.200  0.527
Cl  0.456  0.800  0.827
Cl  0.044  0.372  0.845
Cl  0.473  0.300  0.345
Cl  0.044  0.673  0.700
Cl  0.655  0.456  0.628
Cl  0.300  0.827  0.956


Entry 5:
A relaxed ScRh3 crystal, computed with PBE.

Output
Calculated formation energy   -257 meV per atom
Crystal system   cubic

Cell: 5.024 5.024 5.024 Å, 90.00 90.00 90.00°
Element x y z (fractional)
Sc  0.000  0.000  0.000
Sc  0.500  0.500  0.500
Rh  0.000  0.250  0.500
Rh  0.000  0.750  0.500
Rh  0.250  0.500  0.000
Rh  0.500  0.000  0.250
Rh  0.500  0.000  0.750
Rh  0.750  0.500  0.000


Entry 6:
A relaxed ScTl2Ir crystal, computed with PBE.

Output
Calculated formation energy   27 meV per atom
Crystal system   orthorhombic

Cell: 4.209 4.304 4.595 Å, 90.00 90.00 90.00°
Element x y z (fractional)
Ir  0.500  0.000  0.500
Sc  0.000  0.500  0.500
Tl  0.000  0.000  0.000
Tl  0.500  0.500  0.000


Entry 7:
A relaxed Be2SBr crystal, computed with PBE.

Output
Crystal system   triclinic
Distance to the lowest polymorph of the same formula   14.3 kJ/mol of atoms
E_form (uncorrected)   -0.56 eV/atom

Cell: 5.638 5.670 6.428 Å, 86.00 77.66 72.57°
Element x y z (fractional)
Be  0.672  0.382  0.801
Be  0.541  0.086  0.740
Be  0.936  0.137  0.547
Be  0.504  0.151  0.246
S  0.368  0.324  0.996
S  0.315  0.073  0.526
Br  0.802  0.701  0.797
Br  0.907  0.039  0.230


Entry 8:
A relaxed Sr2Mg2Sb crystal, computed with PBE.

Output
Crystal system   tetragonal
E_form (uncorrected)   -0.28 eV/atom

Cell: 7.950 7.950 5.271 Å, 90.00 90.00 90.00°
Element x y z (fractional)
Sb  0.000  0.000  0.000
Sb  0.500  0.500  0.000
Mg  0.371  0.871  0.000
Mg  0.871  0.629  0.000
Mg  0.629  0.129  0.000
Mg  0.129  0.371  0.000
Sr  0.176  0.676  0.500
Sr  0.676  0.824  0.500
Sr  0.824  0.324  0.500
Sr  0.324  0.176  0.500


Entry 9:
A relaxed TbSm3Rh4 crystal, computed with PBE.

Output
Calculated formation energy   -747 meV per atom
Crystal system   orthorhombic

Cell: 3.417 4.975 9.957 Å, 90.00 90.00 90.00°
Element x y z (fractional)
Rh  0.000  0.000  0.500
Rh  0.000  0.500  0.754
Rh  0.000  0.000  0.000
Rh  0.000  0.500  0.246
Tb  0.500  0.500  0.000
Sm  0.500  0.000  0.248
Sm  0.500  0.500  0.500
Sm  0.500  0.000  0.752


Entry 10:
A relaxed KSc2Pt crystal, computed with PBE.

Output
Calculated formation energy   321 meV per atom
Crystal system   cubic
Distance to the lowest polymorph of the same formula   66.9 kJ/mol of atoms

Cell: 5.060 5.060 5.060 Å, 60.00 60.00 60.00°
Element x y z (fractional)
K  0.500  0.500  0.500
Pt  0.750  0.750  0.750
Sc  0.000  0.000  0.000
Sc  0.250  0.250  0.250


Entry 11:
A relaxed Mg2PaTl3Te6 crystal, computed with PBE.

Output
Crystal system   monoclinic
E_form (uncorrected)   -0.66 eV/atom

Cell: 7.508 7.508 8.577 Å, 98.37 98.37 120.04°
Element x y z (fractional)
Mg  0.333  0.667  0.000
Mg  0.667  0.333  0.000
Pa  0.000  0.000  0.000
Tl  0.165  0.835  0.500
Tl  0.835  0.165  0.500
Tl  0.500  0.500  0.500
Te  0.931  0.598  0.793
Te  0.736  0.736  0.208
Te  0.069  0.402  0.207
Te  0.598  0.931  0.793
Te  0.264  0.264  0.792
Te  0.402  0.069  0.207


Entry 12:
A relaxed Tb3Tm2ThTe6 crystal, computed with PBE.

Output
Crystal system   monoclinic
E_form (uncorrected)   -1.21 eV/atom

Cell: 4.238 9.001 9.642 Å, 98.81 102.69 90.00°
Element x y z (fractional)
Tb  0.500  0.500  0.000
Tb  0.849  0.149  0.699
Tb  0.151  0.851  0.301
Tm  0.833  0.654  0.667
Tm  0.167  0.346  0.333
Th  0.500  0.000  0.000
Te  0.323  0.893  0.647
Te  0.668  0.596  0.336
Te  0.677  0.107  0.353
Te  0.009  0.263  0.018
Te  0.991  0.737  0.982
Te  0.332  0.404  0.664


Entry 13:
A relaxed Na4GeSb3Te8 crystal, computed with PBE.

Output
Crystal system   trigonal
E_form (uncorrected)   -0.42 eV/atom

Cell: 8.670 9.197 8.671 Å, 118.15 120.00 90.00°
Element x y z (fractional)
Na  0.500  0.000  0.000
Na  0.500  0.000  0.500
Na  0.000  0.000  0.000
Na  0.000  0.000  0.500
Ge  0.000  0.500  0.000
Sb  0.500  0.500  0.000
Sb  0.500  0.500  0.500
Sb  0.000  0.500  0.500
Te  0.239  0.728  0.989
Te  0.239  0.728  0.478
Te  0.256  0.268  0.512
Te  0.750  0.728  0.989
Te  0.250  0.272  0.011
Te  0.744  0.732  0.488
Te  0.761  0.272  0.522
Te  0.761  0.272  0.011


Entry 14:
A relaxed Dy2RhPb crystal, computed with PBE.

Output
Calculated formation energy   -686 meV per atom
Crystal system   tetragonal
Distance to the lowest polymorph of the same formula   0.0 kJ/mol of atoms

Cell: 3.485 3.485 8.018 Å, 90.00 90.00 90.00°
Element x y z (fractional)
Pb  0.500  0.500  0.500
Rh  0.500  0.500  0.000
Dy  0.000  0.000  0.793
Dy  0.000  0.000  0.207


Entry 15:
A relaxed BeIr2Pb crystal, computed with PBE.

Output
Calculated formation energy   165 meV per atom
Crystal system   tetragonal
Distance to the lowest polymorph of the same formula   4.3 kJ/mol of atoms

Cell: 3.020 3.020 6.695 Å, 90.00 90.00 90.02°
Element x y z (fractional)
Pb  0.500  0.500  0.250
Be  0.500  0.500  0.750
Ir  0.000  0.000  0.951
Ir  0.000  0.000  0.549


Entry 16:
A relaxed PrB6Rh12 crystal, computed with PBE.

Output
Calculated formation energy   -384 meV per atom
Crystal system   trigonal

Cell: 6.505 6.505 6.505 Å, 104.16 104.16 104.16°
Element x y z (fractional)
Pr  0.000  0.000  0.000
B  0.668  0.233  0.233
B  0.233  0.233  0.668
B  0.233  0.668  0.233
B  0.767  0.767  0.332
B  0.332  0.767  0.767
B  0.767  0.332  0.767
Rh  0.867  0.133  0.500
Rh  0.814  0.549  0.549
Rh  0.549  0.549  0.814
Rh  0.451  0.186  0.451
Rh  0.451  0.451  0.186
Rh  0.186  0.451  0.451
Rh  0.133  0.500  0.867
Rh  0.500  0.867  0.133
Rh  0.133  0.867  0.500
Rh  0.867  0.500  0.133
Rh  0.500  0.133  0.867
Rh  0.549  0.814  0.549


Entry 17:
A relaxed MnGaH crystal, computed with PBE.

Output
Crystal system   trigonal
Distance to the lowest polymorph of the same formula   0.0 kJ/mol of atoms

Cell: 2.937 2.937 4.143 Å, 90.00 90.00 120.00°
Element x y z (fractional)
H  0.333  0.667  0.524
Mn  0.667  0.333  0.485
Ga  0.000  0.000  0.991


Entry 18:
A relaxed Pr2Ga3Au2 crystal, computed with PBE.

Output
Calculated formation energy   -665 meV per atom
Crystal system   orthorhombic

Cell: 4.407 7.390 9.817 Å, 90.00 102.97 90.00°
Element x y z (fractional)
Pr  0.157  0.250  0.315
Pr  0.843  0.750  0.685
Pr  0.942  0.250  0.884
Pr  0.058  0.750  0.116
Ga  0.227  0.750  0.453
Ga  0.773  0.250  0.547
Ga  0.556  0.421  0.112
Ga  0.444  0.579  0.888
Ga  0.444  0.921  0.888
Ga  0.556  0.079  0.112
Au  0.684  0.946  0.368
Au  0.316  0.054  0.632
Au  0.316  0.446  0.632
Au  0.684  0.554  0.368


Entry 19:
A relaxed MgCoRu3 crystal, computed with PBE.

Output
Calculated formation energy   1999 meV per atom
Crystal system   cubic

Cell: 4.413 4.413 4.413 Å, 90.00 90.00 90.00°
Element x y z (fractional)
Ru  0.000  0.500  0.000
Ru  0.000  0.000  0.500
Ru  0.500  0.000  0.000
Mg  0.000  0.000  0.000
Co  0.500  0.500  0.500


Entry 20:
A relaxed Cs2PuBr2O2 crystal, computed with PBE.

Output
Crystal system   tetragonal
E_form (uncorrected)   -2.00 eV/atom

Cell: 4.586 4.586 9.883 Å, 103.42 103.42 90.00°
Element x y z (fractional)
Cs  0.375  0.375  0.751
Cs  0.625  0.625  0.249
Pu  0.000  0.000  0.000
Br  0.163  0.163  0.326
Br  0.837  0.837  0.674
O  0.000  0.500  0.000
O  0.500  0.000  0.000